Entry 1:
# Sb2MoPt PBE-GGA optimized geometry
# Polymorph energy (0 for the lowest one) = 0.204 eV per atom
# Volume = 19.65 A^3/atom
# Total energy = -73.6 eV/cell
# Fermi-level density of states = 11.96 states/eV per cell
# Crystal system = trigonal
# Formation energy without anion corrections = 0.58 eV/f.u.
data_Sb2MoPt
_chemical_formula_sum 'Sb6 Mo3 Pt3'
_cell_length_a 3.2954
_cell_length_b 3.2954
_cell_length_c 25.0746
_cell_angle_alpha 90.00
_cell_angle_beta 90.00
_cell_angle_gamma 120.00
_symmetry_space_group_name_H-M 'R -3 m'
_symmetry_Int_Tables_number 166
_symmetry_space_group_name_Hall '-R 3 2"'
loop_
_atom_site_label
_atom_site_fract_x
_atom_site_fract_y
_atom_site_fract_z
Sb1 0.0000 0.0000 0.2487
Mo1 0.0000 0.0000 0.5000
Pt1 0.0000 0.0000 0.0000

Entry 2:
# LiHo3In12 PBE-GGA optimized geometry
# Volume = 24.54 A^3/atom
# ΔH_f (0 K) = -0.32 eV per atom
# Total energy = -53.7 eV/cell
# Fermi-level density of states = 6.36 states/eV per cell
# Crystal system = tetragonal
data_LiHo3In12
_chemical_formula_sum 'Li1 Ho3 In12'
_cell_length_a 4.6347
_cell_length_b 4.6347
_cell_length_c 18.2758
_cell_angle_alpha 90.00
_cell_angle_beta 90.00
_cell_angle_gamma 90.00
_symmetry_space_group_name_H-M 'P 4/m m m'
_symmetry_Int_Tables_number 123
_symmetry_space_group_name_Hall '-P 4 2'
loop_
_atom_site_label
_atom_site_fract_x
_atom_site_fract_y
_atom_site_fract_z
Li1 0.0000 0.0000 0.0000
Ho1 0.0000 0.0000 0.2467
Ho2 0.0000 0.0000 0.5000
In1 0.0000 0.5000 0.1177
In2 0.0000 0.5000 0.3730
In3 0.5000 0.5000 0.0000
In4 0.5000 0.5000 0.2482
In5 0.5000 0.5000 0.5000

Entry 3:
# K5O24 PBE-GGA optimized geometry
# Volume = 15.40 A^3/atom
# Total energy = -187.7 eV/cell
# Fermi-level density of states = 17.35 states/eV per cell
# Crystal system = cubic
# Formation energy without anion corrections = 30.66 eV/f.u.
data_K5O24
_chemical_formula_sum 'K10 O48'
_cell_length_a 9.6298
_cell_length_b 9.6298
_cell_length_c 9.6298
_cell_angle_alpha 90.00
_cell_angle_beta 90.00
_cell_angle_gamma 90.00
_symmetry_space_group_name_H-M 'I -4 3 m'
_symmetry_Int_Tables_number 217
_symmetry_space_group_name_Hall 'I -4 2 3'
loop_
_atom_site_label
_atom_site_fract_x
_atom_site_fract_y
_atom_site_fract_z
K1 0.0000 0.0000 0.0000
K2 0.2206 0.2206 0.7794
O1 0.0439 0.3900 0.3900
O2 0.0767 0.0767 0.3196

Entry 4:
# SiHgS3 PBE-GGA optimized geometry
# Polymorph energy (0 for the lowest one) = 0.520 eV per atom
# Volume = 19.25 A^3/atom
# Total energy = -16.8 eV/cell
# Fermi-level density of states = 5.08 states/eV per cell
# Crystal system = cubic
# Formation energy without anion corrections = 1.31 eV/f.u.
data_SiHgS3
_chemical_formula_sum 'Si1 Hg1 S3'
_cell_length_a 4.5828
_cell_length_b 4.5828
_cell_length_c 4.5828
_cell_angle_alpha 90.00
_cell_angle_beta 90.00
_cell_angle_gamma 90.00
_symmetry_space_group_name_H-M 'P m -3 m'
_symmetry_Int_Tables_number 221
_symmetry_space_group_name_Hall '-P 4 2 3'
loop_
_atom_site_label
_atom_site_fract_x
_atom_site_fract_y
_atom_site_fract_z
Si1 0.0000 0.0000 0.0000
Hg1 0.5000 0.5000 0.5000
S1 0.0000 0.0000 0.5000

Entry 5:
# YNi2RhC PBE-GGA optimized geometry
# Polymorph energy (0 for the lowest one) = 2.828 eV per atom
# Volume = 21.16 A^3/atom
# ΔH_f (0 K) = 2.59 eV per atom
# Total energy = -21.6 eV/cell
# Fermi-level density of states = 3.97 states/eV per cell
# Crystal system = tetragonal
data_YNi2RhC
_chemical_formula_sum 'Y1 Ni2 Rh1 C1'
_cell_length_a 4.6690
_cell_length_b 4.6690
_cell_length_c 4.8535
_cell_angle_alpha 90.00
_cell_angle_beta 90.00
_cell_angle_gamma 90.00
_symmetry_space_group_name_H-M 'P 4/m m m'
_symmetry_Int_Tables_number 123
_symmetry_space_group_name_Hall '-P 4 2'
loop_
_atom_site_label
_atom_site_fract_x
_atom_site_fract_y
_atom_site_fract_z
Y1 0.0000 0.0000 0.0000
Ni1 0.0000 0.5000 0.0000
Rh1 0.0000 0.0000 0.5000
C1 0.5000 0.5000 0.5000

Entry 6:
# PaInGaTc PBE-GGA optimized geometry
# Volume = 19.95 A^3/atom
# ΔH_f (0 K) = 0.02 eV per atom
# Total energy = -102.2 eV/cell
# Fermi-level density of states = 14.51 states/eV per cell
# Crystal system = cubic
data_PaInGaTc
_chemical_formula_sum 'Pa4 In4 Ga4 Tc4'
_cell_length_a 6.8343
_cell_length_b 6.8343
_cell_length_c 6.8343
_cell_angle_alpha 90.00
_cell_angle_beta 90.00
_cell_angle_gamma 90.00
_symmetry_space_group_name_H-M 'F -4 3 m'
_symmetry_Int_Tables_number 216
_symmetry_space_group_name_Hall 'F -4 2 3'
loop_
_atom_site_label
_atom_site_fract_x
_atom_site_fract_y
_atom_site_fract_z
Pa1 0.0000 0.0000 0.0000
In1 0.0000 0.0000 0.5000
Ga1 0.2500 0.2500 0.2500
Tc1 0.2500 0.2500 0.7500

Entry 7:
# ReOs2Se PBE-GGA optimized geometry
# Volume = 15.30 A^3/atom
# Total energy = -35.0 eV/cell
# Fermi-level density of states = 5.40 states/eV per cell
# Crystal system = tetragonal
# Formation energy without anion corrections = 3.37 eV/f.u.
data_ReOs2Se
_chemical_formula_sum 'Re1 Os2 Se1'
_cell_length_a 4.6239
_cell_length_b 4.6239
_cell_length_c 2.8633
_cell_angle_alpha 90.00
_cell_angle_beta 90.00
_cell_angle_gamma 90.00
_symmetry_space_group_name_H-M 'P 4/m m m'
_symmetry_Int_Tables_number 123
_symmetry_space_group_name_Hall '-P 4 2'
loop_
_atom_site_label
_atom_site_fract_x
_atom_site_fract_y
_atom_site_fract_z
Re1 0.0000 0.0000 0.0000
Os1 0.0000 0.5000 0.5000
Se1 0.5000 0.5000 0.0000

Entry 8:
# Os2SN PBE-GGA optimized geometry
# Polymorph energy (0 for the lowest one) = 0.000 eV per atom
# Volume = 14.57 A^3/atom
# Total energy = -133.1 eV/cell
# Fermi-level density of states = 3.68 states/eV per cell
# Crystal system = tetragonal
# Formation energy without anion corrections = 1.64 eV/f.u.
data_Os2SN
_chemical_formula_sum 'Os8 S4 N4'
_cell_length_a 4.8523
_cell_length_b 4.8523
_cell_length_c 9.9028
_cell_angle_alpha 90.00
_cell_angle_beta 90.00
_cell_angle_gamma 90.00
_symmetry_space_group_name_H-M 'I -4 2 d'
_symmetry_Int_Tables_number 122
_symmetry_space_group_name_Hall 'I -4 2bw'
loop_
_atom_site_label
_atom_site_fract_x
_atom_site_fract_y
_atom_site_fract_z
Os1 0.1962 0.2500 0.1250
S1 0.0000 0.0000 0.5000
N1 0.0000 0.0000 0.0000

Q: Which formula does entry 2 have?
A: LiHo3In12